The following is a DFT calculation (meta-GGA SCAN) of Co2AgMo at its PBEsol-relaxed geometry.

Cell and atoms, written as extended XYZ:
```
4
Lattice="4.213 0.000 0.000 2.106 3.648 0.000 2.106 1.216 3.440" Properties=species:S:1:pos:R:3 pbc="T T T"
Ag 4.213 2.432 1.720
Mo 2.106 1.216 0.860
Co 0.000 0.000 0.000
Co 6.319 3.648 2.580
```

Computed properties:
E above lowest polymorph: 211 meV per atom
energy of formation from the pure elements: 0.624 eV/atom